First-principles (GGA+U) data for a relaxed Tb2MnSiO6 crystal, as listed in the Alexandria database.

Unit cell a=5.170 b=5.170 c=4.723 alpha=90.00 beta=90.00 gamma=90.00
Space group P4mm (No. 99)
One atom of each set of equivalent atoms:
Tb 0.000 0.500 0.000 [2 per cell]
Mn 0.000 0.000 0.557 [1 per cell]
Si 0.500 0.500 0.599 [1 per cell]
O 0.000 0.000 0.130 [1 per cell]
O 0.272 0.272 0.713 [4 per cell]
O 0.500 0.500 0.244 [1 per cell]

E_tot = -7.994 eV per atom